# Na3Ac3FeO8

Na3Ac3FeO8 after structural relaxation (PBE+U, Alexandria).

Its density of states at the Fermi level is 0.497 states/eV/atom. The calculation puts the density at 6.04 g/cm3. The total energy comes out at -6.294 eV per atom.

CIF file:
```
data_Na3Ac3FeO8
_cell_length_a 11.8769
_cell_length_b 7.3049
_cell_length_c 6.9657
_cell_angle_alpha 90.00
_cell_angle_beta 121.89
_cell_angle_gamma 90.00
_space_group_name_H-M_alt 'C 1 2/m 1'
_space_group_IT_number 12
loop_
_space_group_symop_operation_xyz
'x,y,z'
'-x,-y,-z'
'-x,y,-z'
'x,-y,z'
'x+1/2,y+1/2,z'
'-x+1/2,-y+1/2,-z'
'-x+1/2,y+1/2,-z'
'x+1/2,-y+1/2,z'
loop_
_atom_site_label
_atom_site_fract_x
_atom_site_fract_y
_atom_site_fract_z
Na1 0.0000 0.0000 0.0000
Na2 0.2500 0.2500 0.5000
Ac1 0.0000 0.5000 0.5000
Ac2 0.2500 0.2500 0.0000
Fe1 0.0000 0.0000 0.5000
O1 0.0038 0.2107 0.7073
O2 0.2077 0.0000 0.7152
O3 0.2419 0.5000 0.7575
```